Record 1
EuBPd3 at its PBEsol-relaxed geometry, computed with SCAN.

The value obtained for the formation energy is -0.54 eV/atom. The calculation puts the total DFT energy (no corrections) at -32.431 eV/atom.

The structure belongs to space group Pm-3m (No. 221); the cell edges are 4.294, 4.294 and 4.294 Å and the angles 90.00°, 90.00° and 90.00°. The asymmetric unit holds Eu at (0.000, 0.000, 0.000), B at (0.500, 0.500, 0.500) and Pd at (0.000, 0.500, 0.500).

Record 2
Eu2B4Rh5 at its PBEsol-relaxed geometry, computed with SCAN.

The value obtained for the formation energy is -0.74 eV/atom. The calculation puts the total DFT energy (no corrections) at -28.560 eV/atom.

The structure belongs to space group Fmmm (No. 69); the cell edges are 5.451, 9.830 and 11.165 Å and the angles 90.00°, 90.00° and 90.00°. The asymmetric unit holds Eu at (0.000, 0.000, 0.142), B at (0.000, 0.160, 0.370), Rh at (0.000, 0.000, 0.500), Rh at (0.250, 0.250, 0.000) and Rh at (0.250, 0.250, 0.250).

Record 3
EuBRh3 at its PBEsol-relaxed geometry, computed with SCAN.

The value obtained for the formation energy is -0.53 eV/atom. The calculation puts the total DFT energy (no corrections) at -33.026 eV/atom.

The structure belongs to space group Pm-3m (No. 221); the cell edges are 4.179, 4.179 and 4.179 Å and the angles 90.00°, 90.00° and 90.00°. The asymmetric unit holds Eu at (0.000, 0.000, 0.000), B at (0.500, 0.500, 0.500) and Rh at (0.000, 0.500, 0.500).

Record 4
SmEuB12 at its PBEsol-relaxed geometry, computed with SCAN.

The value obtained for the formation energy is -0.55 eV/atom. The calculation puts the total DFT energy (no corrections) at -13.924 eV/atom.

The structure belongs to space group Fm-3m (No. 225); the cell edges are 8.223, 8.223 and 8.223 Å and the angles 90.00°, 90.00° and 90.00°. The asymmetric unit holds Sm at (0.000, 0.000, 0.000), Eu at (0.000, 0.000, 0.500) and B at (0.100, 0.250, 0.250).

Record 5
BF3 at its PBEsol-relaxed geometry, computed with SCAN.

The value obtained for the raw formation energy is -11.63 eV per formula unit. The calculation puts the total DFT energy (no corrections) at -7.420 eV/atom.

The structure belongs to space group P2_1/c (No. 14); the cell edges are 4.666, 13.769 and 7.264 Å and the angles 90.00°, 108.73° and 90.00°. The asymmetric unit holds B at (0.020, 0.118, 0.273), B at (0.360, 0.634, 0.738), F at (0.036, 0.129, 0.095), F at (0.217, 0.576, 0.200), F at (0.245, 0.718, 0.772), F at (0.247, 0.150, 0.423), F at (0.258, 0.551, 0.789) and F at (0.424, 0.133, 0.843).

Record 6
FeBOF2 at its PBEsol-relaxed geometry, computed with SCAN.

The value obtained for the raw formation energy is -3.43 eV per formula unit. The calculation puts the total DFT energy (no corrections) at -8.461 eV/atom.

The structure belongs to space group P4/mmm (No. 123); the cell edges are 3.941, 3.941 and 3.656 Å and the angles 90.00°, 90.00° and 90.00°. The asymmetric unit holds Fe at (0.000, 0.000, 0.000), B at (0.500, 0.500, 0.500), O at (0.000, 0.000, 0.500) and F at (0.000, 0.500, 0.000).

Record 7
LaGaBF2 at its PBEsol-relaxed geometry, computed with SCAN.

The value obtained for the raw formation energy is -3.16 eV per formula unit. The calculation puts the total DFT energy (no corrections) at -15.425 eV/atom.

The structure belongs to space group P4/mmm (No. 123); the cell edges are 3.850, 3.850 and 7.486 Å and the angles 90.00°, 90.00° and 90.00°. The asymmetric unit holds La at (0.000, 0.000, 0.000), Ga at (0.000, 0.000, 0.500), B at (0.500, 0.500, 0.000) and F at (0.000, 0.500, 0.500).

Record 8
GaBOF2 at its PBEsol-relaxed geometry, computed with SCAN.

The value obtained for the raw formation energy is -7.96 eV per formula unit. The calculation puts the total DFT energy (no corrections) at -9.010 eV/atom.

The structure belongs to space group P4/mmm (No. 123); the cell edges are 4.370, 4.370 and 2.660 Å and the angles 90.00°, 90.00° and 90.00°. The asymmetric unit holds Ga at (0.000, 0.000, 0.000), B at (0.500, 0.500, 0.500), O at (0.500, 0.500, 0.000) and F at (0.000, 0.500, 0.500).